Record 1
DFT (SCAN) results for ZrIr2Rh at its PBEsol-relaxed geometry.

abc: 2.7735 4.5470 5.0654
angles: 90.00 103.40 90.00
Positions (direct):
Rh 0.5000 0.5000 0.0000
Ir 0.3608 0.0000 0.2296
Zr 0.0000 0.5000 0.5000
Ir 0.6392 0.0000 0.7704

Energy of formation, meV/atom: -393.4
E_tot, eV for the cell shown: -208.2
Space-group type: P2/m (10)
D(E_F), states/eV/cell: 3.1



Record 2
DFT (SCAN) results for Ta2MnNi at its PBEsol-relaxed geometry.

abc: 2.9843 2.9843 7.7999
angles: 78.97 78.97 60.00
Positions (direct):
Ni 0.0000 0.0000 0.0000
Ta 0.2477 0.2477 0.2570
Ta 0.7523 0.7523 0.7430
Mn 0.5000 0.5000 0.5000

Energy of formation, meV/atom: 237.5
E_tot, eV for the cell shown: -166.6
Space-group type: R-3m (166)
D(E_F), states/eV/cell: 3.8
ΔE to the lowest computed polymorph, eV/f.u.: 0.94



Record 3
DFT (SCAN) results for Si2MoP at its PBEsol-relaxed geometry.

abc: 3.0338 4.2918 4.4941
angles: 93.84 109.73 90.00
Positions (direct):
P 0.7708 0.2795 0.5417
Si 0.9960 0.9868 0.9920
Si 0.2382 0.7466 0.4764
Mo 0.4950 0.4871 0.9900

E_tot, eV for the cell shown: -64.9
Space-group type: Cm (8)
D(E_F), states/eV/cell: 1.7
Raw formation energy, meV/atom: 113



Record 4
DFT (SCAN) results for RbSrIN2 at its PBEsol-relaxed geometry.

abc: 5.0464 5.0464 6.3568
angles: 90.00 90.00 90.00
Positions (direct):
I 0.0000 0.0000 0.5000
N 0.5000 0.0000 0.0000
N 0.0000 0.5000 0.0000
Sr 0.5000 0.5000 0.5000
Rb 0.0000 0.0000 0.0000

E_tot, eV for the cell shown: -93.8
Space-group type: P4/mmm (123)
D(E_F), states/eV/cell: 3.9
Raw formation energy, meV/atom: 917



Record 5
DFT (SCAN) results for Mg2Zr3 at its PBEsol-relaxed geometry.

abc: 3.1215 3.1215 13.3562
angles: 83.29 83.29 60.00
Positions (direct):
Zr 0.8020 0.8020 0.5939
Zr 0.0000 0.0000 0.0000
Mg 0.5994 0.5994 0.2019
Mg 0.4006 0.4006 0.7981
Zr 0.1980 0.1980 0.4061

Energy of formation, meV/atom: 63.1
E_tot, eV for the cell shown: -101.7
Space-group type: R-3m (166)
D(E_F), states/eV/cell: 3.8



Record 6
DFT (SCAN) results for TaAlSbI2 at its PBEsol-relaxed geometry.

abc: 5.2080 5.2080 5.3077
angles: 90.00 90.00 90.00
Positions (direct):
I 0.0000 0.5000 0.0000
I 0.5000 0.0000 0.0000
Al 0.0000 0.0000 0.0000
Ta 0.5000 0.5000 0.5000
Sb 0.0000 0.0000 0.5000

E_tot, eV for the cell shown: -179.1
Space-group type: P4/mmm (123)
D(E_F), states/eV/cell: 3.3
Raw formation energy, meV/atom: 1188



Record 7
DFT (SCAN) results for BiMoI2O at its PBEsol-relaxed geometry.

abc: 3.7783 5.6247 5.6247
angles: 90.00 90.00 90.00
Positions (direct):
Mo 0.0000 0.0000 0.0000
I 0.0000 0.0000 0.5000
Bi 0.5000 0.5000 0.5000
O 0.5000 0.0000 0.0000
I 0.0000 0.5000 0.0000

E_tot, eV for the cell shown: -194.1
Space-group type: P4/mmm (123)
D(E_F), states/eV/cell: 2.8
Raw formation energy, meV/atom: -181



Record 8
DFT (SCAN) results for Mg3Sc at its PBEsol-relaxed geometry.

abc: 5.0603 6.3958 6.3958
angles: 120.04 90.00 90.00
Positions (direct):
Sc 0.7500 0.3332 0.6668
Mg 0.7500 0.8328 0.6658
Mg 0.2500 0.1672 0.3342
Mg 0.2500 0.1672 0.8328
Mg 0.7500 0.8328 0.1672
Mg 0.7500 0.3342 0.1672
Mg 0.2500 0.6658 0.8328
Sc 0.2500 0.6668 0.3332

Energy of formation, meV/atom: -41.2
E_tot, eV for the cell shown: -58.6
Space-group type: P6_3/mmc (194)
D(E_F), states/eV/cell: 5.8



For each record above, in turn, the calculated total magnetic moment values are 0.00; 0.00; 0.00; 4.00; 0.11; 2.54; 1.56; 0.13 μB/f.u..